Entry w
DFT (PBE) results for a relaxed PaNbTc crystal.

Its density is 11.1 g cm⁻³. The magnetization is 0.00 μB/f.u.

abc: 6.3149 6.3149 6.3149
angles: 90.00 90.00 90.00
With the nearest neighbours (Å) after each atom.
Atoms (fractional coordinates):
1 Pa 0.0000 0.0000 0.0000  4 Nb 2.73, 4 Tc 2.73
2 Pa 0.0000 0.5000 0.5000  4 Nb 2.73, 4 Tc 2.73
3 Pa 0.5000 0.0000 0.5000  4 Nb 2.73, 4 Tc 2.73
4 Pa 0.5000 0.5000 0.0000  4 Nb 2.73, 4 Tc 2.73
5 Nb 0.2500 0.2500 0.7500  4 Pa 2.73
6 Nb 0.2500 0.7500 0.2500  4 Pa 2.73
7 Nb 0.7500 0.2500 0.2500  4 Pa 2.73
8 Nb 0.7500 0.7500 0.7500  4 Pa 2.73
9 Tc 0.2500 0.2500 0.2500  4 Pa 2.73
10 Tc 0.2500 0.7500 0.7500  4 Pa 2.73
11 Tc 0.7500 0.2500 0.7500  4 Pa 2.73
12 Tc 0.7500 0.7500 0.2500  4 Pa 2.73

Entry x
DFT (PBE) results for a relaxed PaNbTc crystal.

Its density is 10.9 g cm⁻³. The magnetization is 0.00 μB/f.u.

abc: 6.3519 6.3519 6.3519
angles: 90.00 90.00 90.00
With the nearest neighbours (Å) after each atom.
Atoms (fractional coordinates):
1 Pa 0.0000 0.0000 0.0000  4 Nb 2.75
2 Pa 0.0000 0.5000 0.5000  4 Nb 2.75
3 Pa 0.5000 0.0000 0.5000  4 Nb 2.75
4 Pa 0.5000 0.5000 0.0000  4 Nb 2.75
5 Nb 0.2500 0.2500 0.2500  4 Pa 2.75, 4 Tc 2.75
6 Nb 0.2500 0.7500 0.7500  4 Pa 2.75, 4 Tc 2.75
7 Nb 0.7500 0.2500 0.7500  4 Pa 2.75, 4 Tc 2.75
8 Nb 0.7500 0.7500 0.2500  4 Pa 2.75, 4 Tc 2.75
9 Tc 0.0000 0.0000 0.5000  4 Nb 2.75
10 Tc 0.0000 0.5000 0.0000  4 Nb 2.75
11 Tc 0.5000 0.0000 0.0000  4 Nb 2.75
12 Tc 0.5000 0.5000 0.5000  4 Nb 2.75

entry x has the most favorable energy; the next structure is 24.7 kJ/mol of atoms above.

Entry w
DFT (PBE) results for a relaxed ZrPaNb crystal.

Its density is 9.1 g cm⁻³. The magnetization is 0.00 μB/f.u.

abc: 6.7247 6.7247 6.7247
angles: 90.00 90.00 90.00
With the nearest neighbours (Å) after each atom.
Atoms (fractional coordinates):
1 Zr 0.0000 0.0000 0.0000  4 Nb 2.91
2 Zr 0.0000 0.5000 0.5000  4 Nb 2.91
3 Zr 0.5000 0.0000 0.5000  4 Nb 2.91
4 Zr 0.5000 0.5000 0.0000  4 Nb 2.91
5 Pa 0.0000 0.0000 0.5000  4 Nb 2.91
6 Pa 0.0000 0.5000 0.0000  4 Nb 2.91
7 Pa 0.5000 0.0000 0.0000  4 Nb 2.91
8 Pa 0.5000 0.5000 0.5000  4 Nb 2.91
9 Nb 0.2500 0.2500 0.7500  4 Zr 2.91, 4 Pa 2.91
10 Nb 0.2500 0.7500 0.2500  4 Zr 2.91, 4 Pa 2.91
11 Nb 0.7500 0.2500 0.2500  4 Zr 2.91, 4 Pa 2.91
12 Nb 0.7500 0.7500 0.7500  4 Pa 2.91, 4 Zr 2.91

Entry x
DFT (PBE) results for a relaxed ZrPaNb crystal.

Its density is 9.2 g cm⁻³. The magnetization is 0.12 μB/f.u.

abc: 6.6823 6.6823 6.6823
angles: 90.00 90.00 90.00
With the nearest neighbours (Å) after each atom.
Atoms (fractional coordinates):
1 Zr 0.0000 0.0000 0.0000  4 Pa 2.89
2 Zr 0.0000 0.5000 0.5000  4 Pa 2.89
3 Zr 0.5000 0.0000 0.5000  4 Pa 2.89
4 Zr 0.5000 0.5000 0.0000  4 Pa 2.89
5 Pa 0.2500 0.2500 0.7500  4 Zr 2.89, 4 Nb 2.89
6 Pa 0.2500 0.7500 0.2500  4 Zr 2.89, 4 Nb 2.89
7 Pa 0.7500 0.2500 0.2500  4 Zr 2.89, 4 Nb 2.89
8 Pa 0.7500 0.7500 0.7500  4 Zr 2.89, 4 Nb 2.89
9 Nb 0.0000 0.0000 0.5000  4 Pa 2.89
10 Nb 0.0000 0.5000 0.0000  4 Pa 2.89
11 Nb 0.5000 0.0000 0.0000  4 Pa 2.89
12 Nb 0.5000 0.5000 0.5000  4 Pa 2.89

entry w has the most favorable energy; the next structure is 55.0 kJ/mol of atoms above.

Entry w
DFT (PBE) results for a relaxed PuNbPb crystal.

Its density is 11.4 g cm⁻³. The magnetization is 4.23 μB/f.u.

abc: 6.8275 6.8275 6.8275
angles: 90.00 90.00 90.00
With the nearest neighbours (Å) after each atom.
Atoms (fractional coordinates):
1 Pu 0.0000 0.0000 0.0000  4 Nb 2.96
2 Pu 0.0000 0.5000 0.5000  4 Nb 2.96
3 Pu 0.5000 0.0000 0.5000  4 Nb 2.96
4 Pu 0.5000 0.5000 0.0000  4 Nb 2.96
5 Nb 0.2500 0.2500 0.7500  4 Pb 2.96, 4 Pu 2.96
6 Nb 0.2500 0.7500 0.2500  4 Pb 2.96, 4 Pu 2.96
7 Nb 0.7500 0.2500 0.2500  4 Pb 2.96, 4 Pu 2.96
8 Nb 0.7500 0.7500 0.7500  4 Pb 2.96, 4 Pu 2.96
9 Pb 0.0000 0.0000 0.5000  4 Nb 2.96
10 Pb 0.0000 0.5000 0.0000  4 Nb 2.96
11 Pb 0.5000 0.0000 0.0000  4 Nb 2.96
12 Pb 0.5000 0.5000 0.5000  4 Nb 2.96

Entry x
DFT (PBE) results for a relaxed PuNbPb crystal.

Its density is 11.5 g cm⁻³. The magnetization is 3.86 μB/f.u.

abc: 6.7992 6.7992 6.7992
angles: 90.00 90.00 90.00
With the nearest neighbours (Å) after each atom.
Atoms (fractional coordinates):
1 Pu 0.0000 0.0000 0.0000  4 Nb 2.94, 4 Pb 2.94
2 Pu 0.0000 0.5000 0.5000  4 Nb 2.94, 4 Pb 2.94
3 Pu 0.5000 0.0000 0.5000  4 Nb 2.94, 4 Pb 2.94
4 Pu 0.5000 0.5000 0.0000  4 Nb 2.94, 4 Pb 2.94
5 Nb 0.2500 0.2500 0.2500  4 Pu 2.94
6 Nb 0.2500 0.7500 0.7500  4 Pu 2.94
7 Nb 0.7500 0.2500 0.7500  4 Pu 2.94
8 Nb 0.7500 0.7500 0.2500  4 Pu 2.94
9 Pb 0.2500 0.2500 0.7500  4 Pu 2.94
10 Pb 0.2500 0.7500 0.2500  4 Pu 2.94
11 Pb 0.7500 0.2500 0.2500  4 Pu 2.94
12 Pb 0.7500 0.7500 0.7500  4 Pu 2.94

entry w has the most favorable energy; the next structure is 53.7 kJ/mol of atoms above.

Entry w
DFT (PBE) results for a relaxed NbPbS3 crystal.

Its density is 5.9 g cm⁻³. The magnetization is 0.01 μB/f.u.

abc: 8.6939 3.5648 14.3021
angles: 90.00 90.00 90.00
With the nearest neighbours (Å) after each atom.
Atoms (fractional coordinates):
1 Nb 0.1410 0.2500 0.0463  6 S 2.47-2.51
2 Nb 0.3590 0.7500 0.5463  6 S 2.47-2.51
3 Nb 0.6410 0.2500 0.4537  6 S 2.47-2.51
4 Nb 0.8590 0.7500 0.9537  6 S 2.47-2.51
5 Pb 0.0052 0.2500 0.6688  3 S 2.75-2.89
6 Pb 0.4948 0.7500 0.1688  3 S 2.75-2.89
7 Pb 0.5052 0.2500 0.8312  3 S 2.75-2.89
8 Pb 0.9948 0.7500 0.3312  3 S 2.75-2.89
9 S 0.0304 0.2500 0.8869  3 Nb 2.47-2.51
10 S 0.1739 0.2500 0.4944  2 Nb 2.51
11 S 0.2380 0.7500 0.7052  1 Nb 2.50, 2 Pb 2.75
12 S 0.2620 0.2500 0.2052  1 Nb 2.50, 2 Pb 2.75
13 S 0.3261 0.7500 0.9944  2 Nb 2.51
14 S 0.4696 0.7500 0.3869  3 Nb 2.47-2.51
15 S 0.5304 0.2500 0.6131  3 Nb 2.47-2.51
16 S 0.6739 0.2500 0.0056  2 Nb 2.51
17 S 0.7380 0.7500 0.7948  1 Nb 2.50, 2 Pb 2.75
18 S 0.7620 0.2500 0.2948  1 Nb 2.50, 2 Pb 2.75
19 S 0.8261 0.7500 0.5056  2 Nb 2.51
20 S 0.9696 0.7500 0.1131  3 Nb 2.47-2.51

Entry x
DFT (PBE) results for a relaxed NbPbS3 crystal.

Its density is 5.2 g cm⁻³. The magnetization is 0.01 μB/f.u.

abc: 6.2054 11.6055 7.1271
angles: 90.00 98.36 90.00
With the nearest neighbours (Å) after each atom.
Atoms (fractional coordinates):
1 Nb 0.1517 0.0000 0.1870  5 S 2.32-2.54
2 Nb 0.2951 0.5913 0.8164  4 S 2.28-2.48
3 Nb 0.7049 0.0913 0.1836  4 S 2.28-2.48
4 Nb 0.8483 0.5000 0.8130  5 S 2.32-2.54
5 Pb 0.0319 0.1886 0.6341  4 S 2.79-3.12
6 Pb 0.4916 0.9176 0.6356  6 S 2.88-3.16
7 Pb 0.5084 0.4176 0.3644  6 S 2.88-3.16
8 Pb 0.9681 0.6886 0.3659  4 S 2.79-3.12
9 S 0.0992 0.4744 0.5640  2 Nb 2.43-2.54
10 S 0.1355 0.5163 0.0785  2 Nb 2.40-2.41
11 S 0.1412 0.7678 0.7544  1 Nb 2.28
12 S 0.3017 0.8177 0.2440  1 Nb 2.32
13 S 0.3700 0.0772 0.9488  2 Nb 2.48-2.49
14 S 0.4039 0.1194 0.4010  2 Nb 2.45-2.61
15 S 0.5961 0.6194 0.5990  2 Nb 2.45-2.61
16 S 0.6300 0.5772 0.0512  2 Nb 2.48-2.49
17 S 0.6983 0.3177 0.7560  1 Nb 2.32
18 S 0.8588 0.2678 0.2456  1 Nb 2.28
19 S 0.8645 0.0163 0.9215  2 Nb 2.40-2.41
20 S 0.9008 0.9744 0.4360  2 Nb 2.43-2.54

entry w has the most favorable energy; the next structure is 5.3 kJ/mol of atoms above.